An optimized crystal structure of AcTlVF6, computed with PBE+U.

Cell: 6.2878 6.2878 10.6675 Å, 90.00 90.00 120.00°
With the nearest neighbours (Å) after each atom.
Space group P-31c (No. 163)
Unique sites:
Ac 0.3333 0.6667 0.2500 (multiplicity 2)  6 F 2.44
Tl 0.0000 0.0000 0.0000 (multiplicity 2)  6 F 2.81
V 0.3333 0.6667 0.7500 (multiplicity 2)  6 F 2.14
F 0.0345 0.3896 0.6438 (multiplicity 12)  1 V 2.14

VASP energy = -52.797 eV per formula unit
Total magnetic moment = 3.00 μB/f.u.